# K4LaZr

A relaxed K4LaZr crystal (PBE, Alexandria).

**N(E_F)**: 9.3 states/eV/cell
**Energy relative to the elements**: 0.899 eV/atom
**Energy**: -12.469 eV per cell

```
K4LaZr
1.0
0.000 5.169 5.169
5.169 0.000 5.169
5.169 5.169 0.000
K La Zr
4 1 1
Cartesian
3.890 3.890 3.890
6.448 6.448 3.890
6.448 3.890 6.448
3.890 6.448 6.448
0.000 0.000 0.000
7.754 7.754 7.754
```


# Sb2PbW

A relaxed Sb2PbW crystal (PBE, Alexandria).

**N(E_F)**: 3.3 states/eV/cell
**ΔE_f (raw)**: 0.944 eV/atom
**Energy**: -21.129 eV per cell

```
Sb2PbW
1.0
-2.248 2.248 4.753
2.248 -2.248 4.753
2.248 2.248 -4.753
Sb Pb W
2 1 1
Cartesian
0.000 0.000 0.000
0.000 2.248 2.376
0.000 0.000 4.753
2.248 0.000 2.376
```


# Tb3Mg2Pt3

A relaxed Tb3Mg2Pt3 crystal (PBE, Alexandria).

**N(E_F)**: 8.3 states/eV/cell
**Energy relative to the elements**: -1.011 eV/atom
**Energy**: -86.585 eV per cell

```
Tb3Mg2Pt3
1.0
8.390 0.000 0.000
-4.195 7.266 0.000
0.000 0.000 5.771
Tb Mg Pt
6 4 6
Cartesian
-1.133 1.963 1.443
-3.062 5.303 4.329
2.266 0.000 1.443
1.133 1.963 4.329
6.124 0.000 4.329
3.062 5.303 1.443
0.000 4.844 0.000
0.000 4.844 2.886
4.195 2.422 0.000
4.195 2.422 2.886
-1.631 2.824 4.329
-2.564 4.442 1.443
3.261 0.000 4.329
1.631 2.824 1.443
5.129 0.000 1.443
2.564 4.442 4.329
```


# LiY2Tc

A relaxed LiY2Tc crystal (PBE, Alexandria).

**N(E_F)**: 2.8 states/eV/cell
**Energy relative to the elements**: 0.248 eV/atom
**Energy**: -24.216 eV per cell

```
LiY2Tc
1.0
3.526 0.000 0.000
0.000 3.526 0.000
0.000 0.000 7.167
Li Y Tc
1 2 1
Cartesian
0.000 0.000 0.000
0.000 0.000 2.709
1.763 1.763 5.531
1.763 1.763 1.034
```